[1]
Material: PuThAl6
Method: DFT, PBE
State: optimized geometry

It has space group Amm2 (No. 38), with a = 4.662 Å, b = 6.372 Å, c = 11.023 Å, α = 90.00°, β = 90.00° and γ = 90.00°. The inequivalent atoms are Pu at (0.000, 0.000, 0.000), Th at (0.500, 0.000, 0.333), Al at (0.000, 0.000, 0.523), Al at (0.000, 0.215, 0.738), Al at (0.500, 0.000, 0.816) and Al at (0.500, 0.223, 0.592).

Its density of states at the Fermi level is 10.03 states/eV/f.u. The value obtained for the energy of formation from the pure elements is -264 kJ/mol of formula units.


[2]
Material: EuTcTe
Method: DFT, PBE
State: optimized geometry

It has space group P-6m2 (No. 187), with a = 4.5781 Å, b = 4.5781 Å, c = 4.0488 Å, α = 90.00°, β = 90.00° and γ = 120.00°. The inequivalent atoms are Eu at (0.0000, 0.0000, 0.0000), Tc at (0.3333, 0.6667, 0.5000) and Te at (0.6667, 0.3333, 0.5000).

Its density of states at the Fermi level is 4.87 states/eV/f.u. For the formation energy (no corrections), the calculation gives -0.168 eV/atom.


[3]
Material: Re2Rh3
Method: DFT, PBE
State: optimized geometry

It has space group R-3m (No. 166, hexagonal axes), with a = 4.3577 Å, b = 4.3577 Å, c = 13.5797 Å, α = 90.00°, β = 90.00° and γ = 120.00°. The inequivalent atoms are Re at (0.0000, 0.0000, 0.0933), Rh at (0.0000, 0.0000, 0.2918) and Rh at (0.0000, 0.0000, 0.5000).

Its density of states at the Fermi level is 8.31 states/eV/f.u. The energy above the lowest structure with this stoichiometry comes out at 467 meV per atom. The value obtained for the energy of formation from the pure elements is 170 kJ/mol of formula units.


[4]
Material: Ho6TeSe5
Method: DFT, PBE
State: optimized geometry

It has space group C2/m (No. 12), with a = 7.101 Å, b = 12.353 Å, c = 7.119 Å, α = 90.00°, β = 109.68° and γ = 90.00°. The inequivalent atoms are Ho at (0.236, 0.174, 0.229), Ho at (0.238, 0.000, 0.761), Te at (0.000, 0.500, 0.500), Se at (0.000, 0.000, 0.000), Se at (0.000, 0.169, 0.500) and Se at (0.000, 0.342, 0.000).

Its density of states at the Fermi level is 5.12 states/eV/f.u. For the formation energy (no corrections), the calculation gives -1.635 eV/atom.


[5]
Material: SiPb3Cl
Method: DFT, PBE
State: optimized geometry

It has space group Pm-3m (No. 221), with a = 5.527 Å, b = 5.527 Å, c = 5.527 Å, α = 90.00°, β = 90.00° and γ = 90.00°. The inequivalent atoms are Si at (0.000, 0.000, 0.000), Pb at (0.000, 0.000, 0.500) and Cl at (0.500, 0.500, 0.500).

Its density of states at the Fermi level is 3.44 states/eV/f.u. For the formation energy (no corrections), the calculation gives 0.276 eV/atom. The energy above the lowest structure with this stoichiometry comes out at 0 meV per atom.


[6]
Material: Ac6Ir2PdBr2
Method: DFT, PBE
State: optimized geometry

It has space group C2/m (No. 12), with a = 7.674 Å, b = 13.215 Å, c = 8.365 Å, α = 90.00°, β = 107.48° and γ = 90.00°. The inequivalent atoms are Ac at (0.218, 0.000, 0.201), Ac at (0.239, 0.331, 0.201), Ir at (0.000, 0.169, 0.000), Pd at (0.000, 0.500, 0.000) and Br at (0.000, 0.333, 0.500).

Its density of states at the Fermi level is 5.71 states/eV/f.u. For the formation energy (no corrections), the calculation gives -0.990 eV/atom.


[7]
Material: K2MnAsS4
Method: DFT, PBE
State: optimized geometry

It has space group Fddd (No. 70, origin choice 2), with a = 6.252 Å, b = 13.393 Å, c = 22.416 Å, α = 90.00°, β = 90.00° and γ = 90.00°. The inequivalent atoms are K at (0.125, 0.125, 0.305), Mn at (0.125, 0.125, 0.125), As at (0.125, 0.125, 0.625) and S at (0.125, 0.277, 0.427).

Its density of states at the Fermi level is 2.28 states/eV/f.u. For the formation energy (no corrections), the calculation gives -0.633 eV/atom.


[8]
Material: AgHgI2
Method: DFT, PBE
State: optimized geometry

It has space group P1 (No. 1), with a = 4.656 Å, b = 6.480 Å, c = 10.812 Å, α = 106.72°, β = 90.86° and γ = 93.23°. The inequivalent atoms are Ag at (0.000, 0.000, 0.000), Ag at (0.480, 0.423, 0.833), Hg at (0.167, 0.239, 0.370), Hg at (0.305, 0.653, 0.488), I at (0.002, 0.637, 0.779), I at (0.525, 0.266, 0.047), I at (0.556, 0.062, 0.591) and I at (0.987, 0.831, 0.228).

For the formation energy (no corrections), the calculation gives -0.226 eV/atom. The energy above the lowest structure with this stoichiometry comes out at 10 meV per atom.